A plane-wave DFT calculation with PBE+U was carried out for an optimized crystal structure of MoAuF3.

Total magnetic moment   0.98 μB/atom
DOS at the Fermi energy   2.1 states/eV per cell
Electronic total energy   -3.737 eV per atom
Space group   Pm-3m

Lattice parameters (Å, degrees): 4.461 4.461 4.461 90.00 90.00 90.00
Each line ends with the local moment (μB).
Element x y z (fractional)
F 0.500 0.000 0.000  0.01
F 0.000 0.500 0.000  0.02
F 0.000 0.000 0.500  0.01
Au 0.000 0.000 0.000  -0.03
Mo 0.500 0.500 0.500  4.28